CaY2PdO | GGA-PBEsol | optimized geometry

Unit cell a=4.467 b=4.467 c=5.711 alpha=90.00 beta=90.00 gamma=90.00
Sites, in units of the cell vectors:
Ca (0.000, 0.000, 0.000)
Y (0.000, 0.500, 0.500)
Y (0.500, 0.000, 0.500)
Pd (0.500, 0.500, 0.000)
O (0.500, 0.500, 0.500)

Output
raw formation energy: -1.00 eV/atom
D(E_F): 0.7516 states/eV/atom

---

YCu4Ir | GGA-PBEsol | optimized geometry

Unit cell a=4.889 b=4.889 c=4.889 alpha=60.00 beta=60.00 gamma=60.00
Sites, in units of the cell vectors:
Y (0.000, 0.000, 0.000)
Cu (0.128, 0.624, 0.624)
Cu (0.624, 0.128, 0.624)
Cu (0.624, 0.624, 0.128)
Cu (0.624, 0.624, 0.624)
Ir (0.250, 0.250, 0.250)

Output
D(E_F): 0.6899 states/eV/atom
formation energy from the elements: -1.25 eV/f.u.

---

MgBeTe2 | GGA-PBEsol | optimized geometry

Unit cell a=3.928 b=3.928 c=7.022 alpha=106.31 beta=106.31 gamma=59.94
Sites, in units of the cell vectors:
Mg (0.000, 0.000, 0.000)
Be (0.500, 0.500, 0.500)
Te (0.239, 0.239, 0.719)
Te (0.761, 0.761, 0.281)

Output
raw formation energy: -0.32 eV/atom
E above lowest polymorph: 233.6 meV/atom
D(E_F): 0.2128 states/eV/atom

---

YTaBe2 | GGA-PBEsol | optimized geometry

Unit cell a=2.978 b=3.456 c=6.077 alpha=90.00 beta=90.00 gamma=90.00
Sites, in units of the cell vectors:
Y (0.000, 0.000, 0.000)
Ta (0.000, 0.000, 0.500)
Be (0.500, 0.500, 0.309)
Be (0.500, 0.500, 0.691)

Output
E above lowest polymorph: 0.0 meV/atom
D(E_F): 0.6719 states/eV/atom
formation energy from the elements: 0.40 eV/f.u.

---

KCa9CoP7O28 | GGA-PBEsol | optimized geometry

Unit cell a=13.635 b=13.635 c=13.635 alpha=44.69 beta=44.69 gamma=44.69
Sites, in units of the cell vectors:
K (0.000, 0.000, 0.000)
K (0.500, 0.500, 0.500)
Ca (0.024, 0.621, 0.612)
Ca (0.112, 0.121, 0.524)
Ca (0.121, 0.524, 0.112)
Ca (0.124, 0.741, 0.713)
Ca (0.213, 0.241, 0.624)
Ca (0.238, 0.841, 0.277)
Ca (0.241, 0.624, 0.213)
Ca (0.277, 0.238, 0.841)
Ca (0.341, 0.738, 0.777)
Ca (0.524, 0.112, 0.121)
Ca (0.612, 0.024, 0.621)
Ca (0.621, 0.612, 0.024)
Ca (0.624, 0.213, 0.241)
Ca (0.713, 0.124, 0.741)
Ca (0.738, 0.777, 0.341)
Ca (0.741, 0.713, 0.124)
Ca (0.777, 0.341, 0.738)
Ca (0.841, 0.277, 0.238)
Co (0.184, 0.184, 0.184)
Co (0.684, 0.684, 0.684)
P (0.006, 0.496, 0.958)
P (0.367, 0.870, 0.911)
P (0.370, 0.867, 0.411)
P (0.411, 0.370, 0.867)
P (0.416, 0.416, 0.416)
P (0.458, 0.996, 0.506)
P (0.496, 0.958, 0.006)
P (0.506, 0.458, 0.996)
P (0.867, 0.411, 0.370)
P (0.870, 0.911, 0.367)
P (0.911, 0.367, 0.870)
P (0.916, 0.916, 0.916)
P (0.958, 0.006, 0.496)
P (0.996, 0.506, 0.458)
O (0.009, 0.836, 0.553)
O (0.015, 0.572, 0.996)
O (0.039, 0.603, 0.283)
O (0.044, 0.311, 0.307)
O (0.045, 0.074, 0.318)
O (0.046, 0.839, 0.299)
O (0.053, 0.336, 0.509)
O (0.072, 0.515, 0.496)
O (0.074, 0.318, 0.045)
O (0.074, 0.350, 0.793)
O (0.076, 0.793, 0.921)
O (0.103, 0.539, 0.783)
O (0.283, 0.039, 0.603)
O (0.287, 0.814, 0.928)
O (0.293, 0.576, 0.421)
O (0.293, 0.850, 0.574)
O (0.299, 0.046, 0.839)
O (0.307, 0.044, 0.311)
O (0.311, 0.307, 0.044)
O (0.314, 0.787, 0.428)
O (0.318, 0.045, 0.074)
O (0.336, 0.509, 0.053)
O (0.339, 0.546, 0.799)
O (0.350, 0.793, 0.074)
O (0.374, 0.374, 0.374)
O (0.421, 0.293, 0.576)
O (0.428, 0.314, 0.787)
O (0.496, 0.072, 0.515)
O (0.509, 0.053, 0.336)
O (0.515, 0.496, 0.072)
O (0.539, 0.783, 0.103)
O (0.544, 0.807, 0.811)
O (0.545, 0.818, 0.574)
O (0.546, 0.799, 0.339)
O (0.553, 0.009, 0.836)
O (0.572, 0.996, 0.015)
O (0.574, 0.293, 0.850)
O (0.574, 0.545, 0.818)
O (0.576, 0.421, 0.293)
O (0.603, 0.283, 0.039)
O (0.783, 0.103, 0.539)
O (0.787, 0.428, 0.314)
O (0.793, 0.074, 0.350)
O (0.793, 0.921, 0.076)
O (0.799, 0.339, 0.546)
O (0.807, 0.811, 0.544)
O (0.811, 0.544, 0.807)
O (0.814, 0.928, 0.287)
O (0.818, 0.574, 0.545)
O (0.836, 0.553, 0.009)
O (0.839, 0.299, 0.046)
O (0.850, 0.574, 0.293)
O (0.874, 0.874, 0.874)
O (0.921, 0.076, 0.793)
O (0.928, 0.287, 0.814)
O (0.996, 0.015, 0.572)

Output
raw formation energy: -2.78 eV/atom
D(E_F): 0.2198 states/eV/atom

---

LaTa2Mn | GGA-PBEsol | optimized geometry

Unit cell a=5.529 b=5.529 c=5.120 alpha=109.23 beta=109.23 gamma=31.68
Sites, in units of the cell vectors:
La (0.000, 0.000, 0.000)
Ta (0.201, 0.201, 0.684)
Ta (0.799, 0.799, 0.316)
Mn (0.500, 0.500, 0.500)

Output
E above lowest polymorph: 175.0 meV/atom
D(E_F): 1.1000 states/eV/atom
formation energy from the elements: 1.88 eV/f.u.

---

MgCd2Tc | GGA-PBEsol | optimized geometry

Unit cell a=2.885 b=2.885 c=8.699 alpha=90.00 beta=90.00 gamma=90.00
Sites, in units of the cell vectors:
Mg (0.000, 0.000, 0.000)
Cd (0.500, 0.500, 0.265)
Cd (0.500, 0.500, 0.735)
Tc (0.000, 0.000, 0.500)

Output
D(E_F): 0.8456 states/eV/atom
formation energy from the elements: 1.25 eV/f.u.

---

CuNi | GGA-PBEsol | optimized geometry

Unit cell a=4.794 b=4.794 c=5.871 alpha=105.01 beta=105.01 gamma=29.79
Sites, in units of the cell vectors:
Cu (0.000, 0.000, 0.000)
Cu (0.054, 0.054, 0.612)
Cu (0.666, 0.666, 0.333)
Ni (0.331, 0.331, 0.667)
Ni (0.385, 0.385, 0.278)
Ni (0.726, 0.726, 0.945)

Output
D(E_F): 1.1962 states/eV/atom
formation energy from the elements: 0.07 eV/f.u.

---

MgTc2Ni | GGA-PBEsol | optimized geometry

Unit cell a=4.560 b=4.560 c=2.596 alpha=90.00 beta=90.00 gamma=90.00
Sites, in units of the cell vectors:
Mg (0.000, 0.000, 0.000)
Tc (0.000, 0.500, 0.500)
Tc (0.500, 0.000, 0.500)
Ni (0.500, 0.500, 0.000)

Output
D(E_F): 1.0259 states/eV/atom
formation energy from the elements: 1.82 eV/f.u.

---

Mg3Cd2 | GGA-PBEsol | optimized geometry

Unit cell a=12.168 b=12.168 c=12.168 alpha=15.22 beta=15.22 gamma=15.22
Sites, in units of the cell vectors:
Mg (0.000, 0.000, 0.000)
Mg (0.202, 0.202, 0.202)
Mg (0.798, 0.798, 0.798)
Cd (0.399, 0.399, 0.399)
Cd (0.601, 0.601, 0.601)

Output
E above lowest polymorph: 9.4 meV/atom
D(E_F): 0.4312 states/eV/atom
formation energy from the elements: -0.25 eV/f.u.

---

TlZn2FeAs | GGA-PBEsol | optimized geometry

Unit cell a=4.647 b=4.647 c=5.698 alpha=90.00 beta=90.00 gamma=90.00
Sites, in units of the cell vectors:
Tl (0.000, 0.000, 0.000)
Zn (0.000, 0.500, 0.500)
Zn (0.500, 0.000, 0.500)
Fe (0.500, 0.500, 0.000)
As (0.000, 0.000, 0.500)

Output
D(E_F): 0.8245 states/eV/atom
formation energy from the elements: 5.21 eV/f.u.

---

KRhPb2 | GGA-PBEsol | optimized geometry

Unit cell a=7.107 b=7.107 c=7.107 alpha=36.65 beta=36.65 gamma=36.65
Sites, in units of the cell vectors:
K (0.000, 0.000, 0.000)
Rh (0.826, 0.826, 0.826)
Pb (0.213, 0.213, 0.213)
Pb (0.446, 0.446, 0.446)

Output
D(E_F): 0.8795 states/eV/atom
formation energy from the elements: -0.08 eV/f.u.

---

> Which value of D(E_F) does entry 9 give?

1.0259 states/eV/atom